Record 1
Entry from Alexandria via LeMat-Bulk: an optimized crystal structure of Na3BeBr4 (PBE-GGA).

Properties
- symmetry = No. 31
- uncorrected energy (eV per atom) = -2.8509
- DOS at the Fermi energy (states/eV/atom) = 0.319
- formation energy from raw total energies (eV/atom) = -1.054

Unit cell a=9.577 b=7.895 c=6.719 alpha=90.00 beta=90.00 gamma=90.00
Positions (direct):
Na: 0.000 0.228 0.000
Na: 0.231 0.653 0.998
Na: 0.269 0.347 0.498
Na: 0.500 0.772 0.500
Na: 0.731 0.347 0.498
Na: 0.769 0.653 0.998
Be: 0.000 0.869 0.454
Be: 0.500 0.131 0.954
Br: 0.000 0.137 0.559
Br: 0.000 0.876 0.125
Br: 0.188 0.729 0.555
Br: 0.312 0.271 0.055
Br: 0.500 0.124 0.625
Br: 0.500 0.863 0.059
Br: 0.688 0.271 0.055
Br: 0.812 0.729 0.555


Record 2
Entry from Alexandria via LeMat-Bulk: an optimized crystal structure of NaBe3Br (PBE-GGA).

Properties
- distance to the lowest polymorph of the same formula (kJ/mol of atoms) = 0.0
- symmetry = No. 221
- uncorrected energy (eV per atom) = -1.4239
- DOS at the Fermi energy (states/eV/atom) = 0.496
- formation energy from raw total energies (eV/atom) = 1.410

Unit cell a=4.705 b=4.705 c=4.705 alpha=90.00 beta=90.00 gamma=90.00
Positions (direct):
Na: 0.000 0.000 0.000
Be: 0.000 0.500 0.500
Be: 0.500 0.000 0.500
Be: 0.500 0.500 0.000
Br: 0.500 0.500 0.500


Record 3
Entry from Alexandria via LeMat-Bulk: an optimized crystal structure of Na4BeBr6 (PBE-GGA).

Properties
- symmetry = No. 9
- uncorrected energy (eV per atom) = -3.1209
- DOS at the Fermi energy (states/eV/atom) = 0.000
- formation energy from raw total energies (eV/atom) = -1.390

Unit cell a=7.879 b=7.879 c=14.116 alpha=108.90 beta=108.90 gamma=58.37
Positions (direct):
Na: 0.102 0.898 0.500
Na: 0.227 0.477 0.013
Na: 0.442 0.816 0.846
Na: 0.477 0.227 0.513
Na: 0.620 0.967 0.193
Na: 0.816 0.442 0.346
Na: 0.898 0.102 0.000
Na: 0.967 0.620 0.693
Be: 0.291 0.833 0.252
Be: 0.833 0.291 0.752
Br: 0.081 0.555 0.509
Br: 0.087 0.699 0.207
Br: 0.134 0.142 0.711
Br: 0.142 0.134 0.211
Br: 0.168 0.731 0.890
Br: 0.421 0.853 0.418
Br: 0.550 0.627 0.170
Br: 0.555 0.081 0.009
Br: 0.627 0.550 0.670
Br: 0.699 0.087 0.707
Br: 0.731 0.168 0.390
Br: 0.853 0.421 0.918


Number 1: total magnetic moment 1.3 Bohr magnetons per cell, V 31.7 Å³ per atom. Number 2: total magnetic moment 0.0 Bohr magnetons per cell, V 20.8 Å³ per atom. Number 3: total magnetic moment 0.0 Bohr magnetons per cell, V 31.5 Å³ per atom.